An optimized crystal structure of Y2HoTl. Source: Alexandria, functional GGA-PBE.

Structure (POSCAR):
```
Y2HoTl
1.0
4.836 0.000 0.000
0.000 4.869 0.000
0.000 0.000 4.869
Y Tl Ho
2 1 1
Cartesian
0.000 0.000 2.435 Y
0.000 2.435 0.000 Y
2.418 0.000 0.000 Tl
2.418 2.435 2.435 Ho
```

Output
The space group is P4/mmm. The calculation puts the distance to the lowest polymorph of the same formula at 16 meV per atom. The total magnetization comes out at 0.304 μB per atom.

An optimized crystal structure of Rb3Pm2ZrTe6. Source: Alexandria, functional GGA-PBE.

Structure (POSCAR):
```
Rb3Pm2ZrTe6
1.0
7.773 -0.003 -0.002
-3.887 6.732 -0.002
-1.298 -2.248 8.612
Rb Pm Zr Te
3 2 1 6
Cartesian
-2.529 4.449 4.304 Rb
5.117 0.033 4.304 Rb
1.294 2.241 4.304 Rb
0.009 4.482 -0.002 Pm
3.878 2.247 -0.002 Pm
0.000 0.000 0.000 Zr
3.819 2.354 6.882 Te
2.660 4.606 1.741 Te
-1.231 2.127 1.726 Te
0.131 4.484 6.882 Te
-0.072 -0.125 6.867 Te
2.457 -0.003 1.726 Te
```

Output
The space group is C2/m. The total magnetization comes out at 0.056 μB per atom. The calculation puts the uncorrected formation energy at -1228 meV/atom.

An optimized crystal structure of K2ReBr. Source: Alexandria, functional GGA-PBE.

Structure (POSCAR):
```
K2ReBr
1.0
-1.213 -2.944 -4.840
4.294 -2.239 -3.181
0.787 -5.738 -0.175
Br K Re
1 2 1
Cartesian
1.934 -5.461 -4.098 Br
0.000 0.000 0.000 K
0.967 -2.730 -2.049 K
2.901 -8.191 -6.147 Re
```

Output
The space group is F-43m. The calculation puts the distance to the lowest polymorph of the same formula at 1189 meV per atom. The total magnetization comes out at 1.000 μB per atom. The calculation puts the uncorrected formation energy at 1014 meV/atom.

Q: Which formula does entry 1 have?
A: Y2HoTl